MnSiAs4 PBE optimized geometry; space group = F-43m, No. 216; formation energy from raw total energies = 0.67 eV/atom
1.0
0.0000 3.8898 3.8898
3.8898 0.0000 3.8898
3.8898 3.8898 0.0000
Mn Si As
1 1 4
Direct
0.0000 0.0000 0.0000 Mn
0.2500 0.2500 0.2500 Si
0.1242 0.6253 0.6253 As
0.6253 0.1242 0.6253 As
0.6253 0.6253 0.1242 As
0.6253 0.6253 0.6253 As